Entry 1:
The following is a DFT calculation (PBE-GGA) of PmScCu after structural relaxation.

a b c (Å): 3.4020 3.4020 12.0293
angles (deg): 90.00 90.00 90.00
Space group I4mm (No. 107)
One atom of each set of equivalent atoms:
Pm 0.0000 0.0000 0.0000 (multiplicity 2)
Sc 0.0000 0.0000 0.2814 (multiplicity 2)
Cu 0.0000 0.0000 0.6703 (multiplicity 2)

Calculated values
Energy, eV/cell: -30.98
ΔE to the lowest computed polymorph, eV per formula unit: 0.16
Calculated volume, Å³/f.u.: 70
DOS at the Fermi energy, states/eV/cell: 7.380
Calculated formation energy, eV per atom: -0.10

Entry 2:
The following is a DFT calculation (PBE-GGA) of PmSc2Cu after structural relaxation.

a b c (Å): 6.4236 9.6609 6.0960
angles (deg): 90.00 90.00 90.00
Space group Pnma (No. 62)
One atom of each set of equivalent atoms:
Pm 0.0040 0.2500 0.1240 (multiplicity 4)
Sc 0.1753 0.5487 0.3191 (multiplicity 8)
Cu 0.1002 0.2500 0.5896 (multiplicity 4)

Calculated values
Energy, eV/cell: -87.44
ΔE to the lowest computed polymorph, eV per formula unit: 0.00
Calculated volume, Å³/f.u.: 95
DOS at the Fermi energy, states/eV/cell: 17.866
Calculated formation energy, eV per atom: -0.09

Entry 3:
The following is a DFT calculation (PBE-GGA) of PmScCu after structural relaxation.

a b c (Å): 4.5554 4.5554 25.5977
angles (deg): 90.00 90.00 120.00
Space group R-3m (No. 166, hexagonal axes)
One atom of each set of equivalent atoms:
Pm 0.0000 0.0000 0.1195 (multiplicity 6)
Sc 0.0000 0.0000 0.3675 (multiplicity 6)
Cu 0.0000 0.0000 0.2619 (multiplicity 6)

Calculated values
Energy, eV/cell: -89.51
ΔE to the lowest computed polymorph, eV per formula unit: 0.73
Calculated volume, Å³/f.u.: 77
DOS at the Fermi energy, states/eV/cell: 26.036
Calculated formation energy, eV per atom: 0.09

Entry 4:
The following is a DFT calculation (PBE-GGA) of PmScCu after structural relaxation.

a b c (Å): 4.6226 4.6226 3.8665
angles (deg): 90.00 90.00 120.00
Space group P-6m2 (No. 187)
One atom of each set of equivalent atoms:
Pm 0.0000 0.0000 0.0000 (multiplicity 1)
Sc 0.6667 0.3333 0.5000 (multiplicity 1)
Cu 0.3333 0.6667 0.5000 (multiplicity 1)

Calculated values
Energy, eV/cell: -15.11
ΔE to the lowest computed polymorph, eV per formula unit: 0.53
Calculated volume, Å³/f.u.: 72
DOS at the Fermi energy, states/eV/cell: 3.988
Calculated formation energy, eV per atom: 0.02

Entry 5:
The following is a DFT calculation (PBE-GGA) of PmSc2Cu after structural relaxation.

a b c (Å): 3.4777 3.4777 28.0144
angles (deg): 90.00 90.00 120.00
Space group R3m (No. 160, hexagonal axes)
One atom of each set of equivalent atoms:
Pm 0.0000 0.0000 0.0000 (multiplicity 3)
Sc 0.0000 0.0000 0.5626 (multiplicity 3)
Sc 0.0000 0.0000 0.7666 (multiplicity 3)
Cu 0.0000 0.0000 0.1638 (multiplicity 3)

Calculated values
Energy, eV/cell: -63.84
ΔE to the lowest computed polymorph, eV per formula unit: 0.58
Calculated volume, Å³/f.u.: 98
DOS at the Fermi energy, states/eV/cell: 14.342
Calculated formation energy, eV per atom: 0.06

Entry 6:
The following is a DFT calculation (PBE-GGA) of Pm4ScCu5 after structural relaxation.

a b c (Å): 3.4808 3.4808 17.7523
angles (deg): 90.00 90.00 90.00
Space group P4/mmm (No. 123)
One atom of each set of equivalent atoms:
Pm 0.0000 0.0000 0.1030 (multiplicity 2)
Pm 0.0000 0.0000 0.3097 (multiplicity 2)
Sc 0.0000 0.0000 0.5000 (multiplicity 1)
Cu 0.5000 0.5000 0.0000 (multiplicity 1)
Cu 0.5000 0.5000 0.2061 (multiplicity 2)
Cu 0.5000 0.5000 0.4204 (multiplicity 2)

Calculated values
Energy, eV/cell: -47.55
Calculated volume, Å³/f.u.: 215
DOS at the Fermi energy, states/eV/cell: 7.129
Calculated formation energy, eV per atom: -0.17

Entry 7:
The following is a DFT calculation (PBE-GGA) of Pm2ScCu after structural relaxation.

a b c (Å): 3.3799 3.3799 32.8902
angles (deg): 90.00 90.00 120.00
Space group R-3m (No. 166, hexagonal axes)
One atom of each set of equivalent atoms:
Pm 0.0000 0.0000 0.0985 (multiplicity 6)
Sc 0.0000 0.0000 0.0000 (multiplicity 3)
Cu 0.0000 0.0000 0.5000 (multiplicity 3)

Calculated values
Energy, eV/cell: -56.13
ΔE to the lowest computed polymorph, eV per formula unit: 1.35
Calculated volume, Å³/f.u.: 108
DOS at the Fermi energy, states/eV/cell: 18.303
Calculated formation energy, eV per atom: 0.30

Entry 8:
The following is a DFT calculation (PBE-GGA) of PmScCu after structural relaxation.

a b c (Å): 4.5609 4.5609 6.8050
angles (deg): 90.00 90.00 90.00
Space group P4/nmm (No. 129, origin choice 2)
One atom of each set of equivalent atoms:
Pm 0.2500 0.2500 0.1188 (multiplicity 2)
Sc 0.2500 0.7500 0.5000 (multiplicity 2)
Cu 0.2500 0.2500 0.7134 (multiplicity 2)

Calculated values
Energy, eV/cell: -31.30
ΔE to the lowest computed polymorph, eV per formula unit: 0.00
Calculated volume, Å³/f.u.: 71
DOS at the Fermi energy, states/eV/cell: 6.109
Calculated formation energy, eV per atom: -0.16

Entry 9:
The following is a DFT calculation (PBE-GGA) of Pm2ScCu3 after structural relaxation.

a b c (Å): 3.4401 3.4401 10.5076
angles (deg): 90.00 90.00 90.00
Space group P4/mmm (No. 123)
One atom of each set of equivalent atoms:
Pm 0.0000 0.0000 0.1761 (multiplicity 2)
Sc 0.0000 0.0000 0.5000 (multiplicity 1)
Cu 0.5000 0.5000 0.0000 (multiplicity 1)
Cu 0.5000 0.5000 0.3637 (multiplicity 2)

Calculated values
Energy, eV/cell: -29.24
Calculated volume, Å³/f.u.: 124
DOS at the Fermi energy, states/eV/cell: 3.734
Calculated formation energy, eV per atom: -0.19

Entry 10:
The following is a DFT calculation (PBE-GGA) of PmSc2Cu after structural relaxation.

a b c (Å): 3.3437 3.3437 8.2673
angles (deg): 90.00 90.00 90.00
Space group P4/mmm (No. 123)
One atom of each set of equivalent atoms:
Pm 0.0000 0.0000 0.0000 (multiplicity 1)
Sc 0.5000 0.5000 0.3116 (multiplicity 2)
Cu 0.0000 0.0000 0.5000 (multiplicity 1)

Calculated values
Energy, eV/cell: -21.84
ΔE to the lowest computed polymorph, eV per formula unit: 0.01
Calculated volume, Å³/f.u.: 92
DOS at the Fermi energy, states/eV/cell: 5.320
Calculated formation energy, eV per atom: -0.08

Entry 11:
The following is a DFT calculation (PBE-GGA) of PmSc4Cu5 after structural relaxation.

a b c (Å): 3.2916 3.2916 16.8244
angles (deg): 90.00 90.00 90.00
Space group P4/mmm (No. 123)
One atom of each set of equivalent atoms:
Pm 0.0000 0.0000 0.0000 (multiplicity 1)
Sc 0.0000 0.0000 0.2107 (multiplicity 2)
Sc 0.0000 0.0000 0.4037 (multiplicity 2)
Cu 0.5000 0.5000 0.1220 (multiplicity 2)
Cu 0.5000 0.5000 0.3060 (multiplicity 2)
Cu 0.5000 0.5000 0.5000 (multiplicity 1)

Calculated values
Energy, eV/cell: -53.04
Calculated volume, Å³/f.u.: 182
DOS at the Fermi energy, states/eV/cell: 4.867
Calculated formation energy, eV per atom: -0.25

Entry 12:
The following is a DFT calculation (PBE-GGA) of PmScCu3 after structural relaxation.

a b c (Å): 3.5464 25.0224 4.2620
angles (deg): 90.00 90.00 90.00
Space group Cmcm (No. 63)
One atom of each set of equivalent atoms:
Pm 0.0000 0.0758 0.2500 (multiplicity 4)
Sc 0.0000 0.2088 0.7500 (multiplicity 4)
Cu 0.0000 0.3198 0.7500 (multiplicity 4)
Cu 0.0000 0.3747 0.2500 (multiplicity 4)
Cu 0.0000 0.4746 0.2500 (multiplicity 4)

Calculated values
Energy, eV/cell: -97.74
Calculated volume, Å³/f.u.: 95
DOS at the Fermi energy, states/eV/cell: 17.701
Calculated formation energy, eV per atom: -0.21

Entry 13:
The following is a DFT calculation (PBE-GGA) of Pm2ScCu9 after structural relaxation.

a b c (Å): 5.1041 5.1041 25.4878
angles (deg): 90.00 90.00 120.00
Space group R-3m (No. 166, hexagonal axes)
One atom of each set of equivalent atoms:
Pm 0.0000 0.0000 0.1371 (multiplicity 6)
Sc 0.0000 0.0000 0.0000 (multiplicity 3)
Cu 0.0000 0.0000 0.3325 (multiplicity 6)
Cu 0.0000 0.0000 0.5000 (multiplicity 3)
Cu 0.0009 0.5004 0.0793 (multiplicity 18)

Calculated values
Energy, eV/cell: -162.81
Calculated volume, Å³/f.u.: 192
DOS at the Fermi energy, states/eV/cell: 24.392
Calculated formation energy, eV per atom: -0.13

Entry 14:
The following is a DFT calculation (PBE-GGA) of PmSc5Cu4 after structural relaxation.

a b c (Å): 3.2610 3.2610 18.3805
angles (deg): 90.00 90.00 90.00
Space group P4/mmm (No. 123)
One atom of each set of equivalent atoms:
Pm 0.0000 0.0000 0.0000 (multiplicity 1)
Sc 0.5000 0.5000 0.1442 (multiplicity 2)
Sc 0.5000 0.5000 0.3210 (multiplicity 2)
Sc 0.5000 0.5000 0.5000 (multiplicity 1)
Cu 0.0000 0.0000 0.2314 (multiplicity 2)
Cu 0.0000 0.0000 0.4111 (multiplicity 2)

Calculated values
Energy, eV/cell: -54.81
Calculated volume, Å³/f.u.: 195
DOS at the Fermi energy, states/eV/cell: 8.155
Calculated formation energy, eV per atom: -0.20

Entry 15:
The following is a DFT calculation (PBE-GGA) of Pm2ScCu after structural relaxation.

a b c (Å): 3.5865 3.5865 8.1275
angles (deg): 90.00 90.00 90.00
Space group P4/mmm (No. 123)
One atom of each set of equivalent atoms:
Pm 0.0000 0.0000 0.2151 (multiplicity 2)
Sc 0.5000 0.5000 0.5000 (multiplicity 1)
Cu 0.5000 0.5000 0.0000 (multiplicity 1)

Calculated values
Energy, eV/cell: -20.06
ΔE to the lowest computed polymorph, eV per formula unit: 0.00
Calculated volume, Å³/f.u.: 105
DOS at the Fermi energy, states/eV/cell: 6.581
Calculated formation energy, eV per atom: -0.03

Entry 16:
The following is a DFT calculation (PBE-GGA) of Pm5ScCu6 after structural relaxation.

a b c (Å): 15.8018 6.9983 4.9655
angles (deg): 90.00 108.23 90.00
Space group C2/m (No. 12)
One atom of each set of equivalent atoms:
Pm 0.0000 0.0000 0.0000 (multiplicity 2)
Pm 0.1661 0.0000 0.6662 (multiplicity 4)
Pm 0.1678 0.5000 0.6673 (multiplicity 4)
Sc 0.0000 0.5000 0.0000 (multiplicity 2)
Cu 0.0000 0.2784 0.5000 (multiplicity 4)
Cu 0.1561 0.2671 0.1552 (multiplicity 8)

Calculated values
Energy, eV/cell: -113.33
Calculated volume, Å³/f.u.: 261
DOS at the Fermi energy, states/eV/cell: 16.770
Calculated formation energy, eV per atom: -0.17

Entry 17:
The following is a DFT calculation (PBE-GGA) of Pm2Sc2Cu15 after structural relaxation.

a b c (Å): 8.7288 8.7288 12.9860
angles (deg): 90.00 90.00 120.00
Space group R-3m (No. 166, hexagonal axes)
One atom of each set of equivalent atoms:
Pm 0.0000 0.0000 0.1486 (multiplicity 6)
Sc 0.0000 0.0000 0.3958 (multiplicity 6)
Cu 0.0000 0.2987 0.5000 (multiplicity 18)
Cu 0.0000 0.5000 0.0000 (multiplicity 9)
Cu 0.0045 0.5023 0.6525 (multiplicity 18)

Calculated values
Energy, eV/cell: -258.40
Calculated volume, Å³/f.u.: 286
DOS at the Fermi energy, states/eV/cell: 36.060
Calculated formation energy, eV per atom: -0.13

Entry 18:
The following is a DFT calculation (PBE-GGA) of Pm2ScCuSe5 after structural relaxation.

a b c (Å): 4.0033 17.3886 11.9672
angles (deg): 90.00 90.00 90.00
Space group Cmc2_1 (No. 36)
One atom of each set of equivalent atoms:
Pm 0.0000 0.1104 0.0000 (multiplicity 4)
Pm 0.0000 0.1254 0.6206 (multiplicity 4)
Sc 0.0000 0.1919 0.3239 (multiplicity 4)
Cu 0.0000 0.4316 0.7665 (multiplicity 4)
Se 0.0000 0.0464 0.3742 (multiplicity 4)
Se 0.0000 0.2868 0.9786 (multiplicity 4)
Se 0.0000 0.3076 0.6635 (multiplicity 4)
Se 0.0000 0.3523 0.3139 (multiplicity 4)
Se 0.0000 0.4990 0.0929 (multiplicity 4)

Calculated values
Energy, eV/cell: -205.40
Raw formation energy, eV/atom: -1.56
Calculated volume, Å³/f.u.: 208
DOS at the Fermi energy, states/eV/cell: 0.214

Entry 19:
The following is a DFT calculation (PBE-GGA) of PmScCuTc after structural relaxation.

a b c (Å): 6.7822 6.7822 6.7822
angles (deg): 90.00 90.00 90.00
Space group F-43m (No. 216)
One atom of each set of equivalent atoms:
Pm 0.0000 0.0000 0.0000 (multiplicity 4)
Sc 0.0000 0.0000 0.5000 (multiplicity 4)
Cu 0.2500 0.2500 0.7500 (multiplicity 4)
Tc 0.2500 0.2500 0.2500 (multiplicity 4)

Calculated values
Energy, eV/cell: -103.14
Calculated volume, Å³/f.u.: 78
DOS at the Fermi energy, states/eV/cell: 15.022
Calculated formation energy, eV per atom: -0.06

Entry 20:
The following is a DFT calculation (PBE-GGA) of PmYScCu after structural relaxation.

a b c (Å): 7.3781 7.3781 7.3781
angles (deg): 90.00 90.00 90.00
Space group F-43m (No. 216)
One atom of each set of equivalent atoms:
Pm 0.0000 0.0000 0.0000 (multiplicity 4)
Y 0.0000 0.0000 0.5000 (multiplicity 4)
Sc 0.2500 0.2500 0.2500 (multiplicity 4)
Cu 0.2500 0.2500 0.7500 (multiplicity 4)

Calculated values
Energy, eV/cell: -84.42
Calculated volume, Å³/f.u.: 100
DOS at the Fermi energy, states/eV/cell: 15.435
Calculated formation energy, eV per atom: 0.13

Entry 21:
The following is a DFT calculation (PBE-GGA) of Pm2ScZn12Cu3 after structural relaxation.

a b c (Å): 6.3862 6.3862 28.5147
angles (deg): 90.00 90.00 120.00
Space group R-3m (No. 166, hexagonal axes)
One atom of each set of equivalent atoms:
Pm 0.0000 0.0000 0.1424 (multiplicity 6)
Sc 0.0000 0.0000 0.5000 (multiplicity 3)
Zn 0.0516 0.5258 0.9029 (multiplicity 18)
Zn 0.0662 0.5331 0.7130 (multiplicity 18)
Cu 0.0000 0.5000 0.0000 (multiplicity 9)

Calculated values
Energy, eV/cell: -130.81
Calculated volume, Å³/f.u.: 336
DOS at the Fermi energy, states/eV/cell: 29.198
Calculated formation energy, eV per atom: -0.01

Entry 22:
The following is a DFT calculation (PBE-GGA) of PmScZnCu after structural relaxation.

a b c (Å): 3.4389 3.4389 7.0011
angles (deg): 90.00 90.00 90.00
Space group P4mm (No. 99)
One atom of each set of equivalent atoms:
Pm 0.0000 0.0000 0.0000 (multiplicity 1)
Sc 0.0000 0.0000 0.4862 (multiplicity 1)
Zn 0.5000 0.5000 0.7075 (multiplicity 1)
Cu 0.5000 0.5000 0.2890 (multiplicity 1)

Calculated values
Energy, eV/cell: -17.49
ΔE to the lowest computed polymorph, eV per formula unit: 0.00
Calculated volume, Å³/f.u.: 83
DOS at the Fermi energy, states/eV/cell: 4.283
Calculated formation energy, eV per atom: -0.26

Entry 23:
The following is a DFT calculation (PBE-GGA) of PmScZnCu after structural relaxation.

a b c (Å): 6.9465 6.9465 6.9465
angles (deg): 90.00 90.00 90.00
Space group F-43m (No. 216)
One atom of each set of equivalent atoms:
Pm 0.0000 0.0000 0.0000 (multiplicity 4)
Sc 0.0000 0.0000 0.5000 (multiplicity 4)
Zn 0.2500 0.2500 0.2500 (multiplicity 4)
Cu 0.2500 0.2500 0.7500 (multiplicity 4)

Calculated values
Energy, eV/cell: -69.60
ΔE to the lowest computed polymorph, eV per formula unit: 0.09
Calculated volume, Å³/f.u.: 84
DOS at the Fermi energy, states/eV/cell: 11.825
Calculated formation energy, eV per atom: -0.24

Entry 24:
The following is a DFT calculation (PBE-GGA) of PmCu2Se2 after structural relaxation.

a b c (Å): 8.8545 10.3046 6.2567
angles (deg): 90.00 134.89 90.00
Space group C2/c (No. 15)
One atom of each set of equivalent atoms:
Pm 0.0000 0.1219 0.2500 (multiplicity 4)
Cu 0.1526 0.3836 0.0453 (multiplicity 8)
Se 0.0000 0.1686 0.7500 (multiplicity 4)
Se 0.0000 0.4082 0.2500 (multiplicity 4)

Calculated values
Energy, eV/cell: -92.87
Raw formation energy, eV/atom: -0.66
Calculated volume, Å³/f.u.: 101
DOS at the Fermi energy, states/eV/cell: 9.348